1.
PBE-GGA Ba2CoMo, optimized geometry; total energy = -0.1757 Ha/atom; space-group type = Immm (71); DOS(E_F) = 1.3419 states/eV per atom; DFT formation energy = 0.665 eV/atom
1.0
-1.7132 1.8144 9.6550
1.7132 -1.8144 9.6550
1.7132 1.8144 -9.6550
Ba Co Mo
2 1 1
Cartesian
0.0000 0.0000 2.7876
0.0000 0.0000 16.5225
1.7132 0.0000 0.0000
0.0000 1.8144 0.0000

2.
PBE-GGA YEr2Be, optimized geometry; total energy = -0.1520 Ha/atom; space-group type = R-3m (166); DOS(E_F) = 0.8799 states/eV per atom; DFT formation energy = 0.692 eV/atom
1.0
1.7075 0.9858 11.3445
-1.7075 0.9858 11.3445
0.0000 -1.9716 11.3445
Y Er Be
1 2 1
Cartesian
0.0000 0.0000 0.0000
0.0000 0.0000 14.1561
0.0000 0.0000 19.8775
0.0000 0.0000 17.0168

3.
PBE-GGA SmRhPb, optimized geometry; total energy = -0.2162 Ha/atom; space-group type = Pmma (51); DOS(E_F) = 0.5012 states/eV per atom; DFT formation energy = -0.625 eV/atom
1.0
13.8441 0.0000 0.0000
0.0000 3.8013 0.0000
0.0000 0.0000 8.0041
Sm Rh Pb
6 6 6
Cartesian
0.6752 0.0000 1.6929
3.4610 0.0000 6.7552
6.2469 0.0000 1.6929
7.5972 0.0000 6.3112
10.3830 0.0000 1.2489
13.1689 0.0000 6.3112
1.3606 1.9006 7.4610
3.4610 0.0000 3.5586
5.5614 1.9006 7.4610
8.2827 1.9006 0.5431
10.3830 0.0000 4.4454
12.4834 1.9006 0.5431
1.5971 1.9006 4.5697
3.4610 1.9006 1.4733
5.3249 1.9006 4.5697
8.5191 1.9006 3.4344
10.3830 1.9006 6.5307
12.2470 1.9006 3.4344

4.
PBE-GGA NaRuPt2W, optimized geometry; total energy = -0.1950 Ha/atom; space-group type = P4/mmm (123); DOS(E_F) = 1.0309 states/eV per atom; DFT formation energy = 1.819 eV/atom
1.0
4.7798 0.0000 0.0000
0.0000 4.7798 0.0000
0.0000 0.0000 4.7160
Na Ru Pt W
1 1 2 1
Cartesian
0.0000 0.0000 0.0000
0.0000 0.0000 2.3580
0.0000 2.3899 2.3580
2.3899 0.0000 2.3580
2.3899 2.3899 0.0000